Record 1
Below is a relaxed Sc2SiAg crystal, with properties calculated at the PBE level.

Geometry as POSCAR:
```
Sc2SiAg
1.0
9.606 0.004 0.003
9.093 3.096 0.003
9.093 1.507 2.704
Ag Sc Si
1 2 1
direct
0.757 0.757 0.757
0.003 0.003 0.003
0.242 0.242 0.242
0.498 0.498 0.498
```

Calculated values
ρ = 4.68 g/cm³
total energy = -0.190 hartree per atom
crystal system = trigonal
symmetry = R3m (160)



Record 2
Below is a relaxed ScSiAg2 crystal, with properties calculated at the PBE level.

Geometry as POSCAR:
```
ScSiAg2
1.0
3.080 -0.024 0.000
0.024 3.080 0.000
0.000 0.000 7.580
Ag Sc Si
2 1 1
direct
0.000 0.000 0.982
0.500 0.500 0.246
0.000 0.000 0.517
0.500 0.500 0.755
```

Calculated values
ρ = 6.67 g/cm³
total energy = -0.164 hartree per atom
crystal system = tetragonal
symmetry = P4mm (99)



Record 3
Below is a relaxed ScSiAg crystal, with properties calculated at the PBE level.

Geometry as POSCAR:
```
ScSiAg
1.0
-2.340 2.405 1.504
2.700 -1.334 6.335
0.971 4.738 -1.570
Sc Si Ag
2 2 2
direct
0.107 0.903 0.737
0.824 0.496 0.304
0.484 0.682 0.984
0.825 0.893 0.301
0.584 0.278 0.783
0.335 0.160 0.282
```

Calculated values
ρ = 5.39 g/cm³
total energy = -0.191 hartree per atom
crystal system = monoclinic
symmetry = Cm (8)